(1)
! KRb2Ag2 | Alexandria via LeMat-Bulk | SCAN | PBEsol geometry; values from VASP
! - crystal system = tetragonal
! - total magnetic moment (μB/f.u.) = 0.000
! - Fermi-level density of states (states/eV/atom) = 0.509
! - symmetry = No. 127
! - energy of formation from the pure elements (eV per atom) = 0.0740
&SYSTEM
  ibrav = 0, nat = 10, ntyp = 3
/
ATOMIC_SPECIES
K 39.10 K.upf
Rb 85.47 Rb.upf
Ag 107.87 Ag.upf
ATOMIC_POSITIONS crystal
K 0.000 0.000 0.000
Rb 0.500 0.667 0.833
Ag 0.000 0.110 0.390
Ag 0.000 0.610 0.110
Rb 0.500 0.333 0.167
Rb 0.500 0.833 0.333
Rb 0.500 0.167 0.667
Ag 0.000 0.890 0.610
Ag 0.000 0.390 0.890
K 0.000 0.500 0.500
CELL_PARAMETERS angstrom
-2.613 2.119 -3.961
-7.226 -4.549 2.333
-2.516 6.681 5.234

***

(2)
! Ba3YIr2O9 | Alexandria via LeMat-Bulk | SCAN | PBEsol geometry; values from VASP
! - excess energy over the best structure of this formula in the dataset (eV per atom) = 0.078
! - crystal system = hexagonal
! - total magnetic moment (μB/f.u.) = 3.009
! - Fermi-level density of states (states/eV/atom) = 0.182
! - energy relative to the elements, uncorrected (eV/atom) = -2.293
! - symmetry = No. 186
&SYSTEM
  ibrav = 0, nat = 30, ntyp = 4
/
ATOMIC_SPECIES
Ir 192.22 Ir.upf
O 16.00 O.upf
Y 88.91 Y.upf
Ba 137.33 Ba.upf
ATOMIC_POSITIONS crystal
Ir 0.333 0.667 0.655
O 0.489 0.511 0.737
O 0.309 0.154 0.425
Ir 0.000 0.000 0.005
Y 0.667 0.333 0.348
O 0.667 0.834 0.580
O 0.511 0.022 0.237
O 0.846 0.691 0.425
O 0.834 0.166 0.080
Ba 0.333 0.667 0.424
Ba 0.000 0.000 0.745
Ir 0.000 0.000 0.505
O 0.691 0.846 0.925
Ba 0.667 0.333 0.599
O 0.834 0.667 0.080
O 0.489 0.978 0.737
O 0.166 0.333 0.580
Ba 0.667 0.333 0.924
O 0.333 0.166 0.080
Y 0.333 0.667 0.848
Ir 0.667 0.333 0.155
O 0.022 0.511 0.737
O 0.846 0.154 0.425
O 0.166 0.834 0.580
O 0.511 0.489 0.237
Ba 0.333 0.667 0.099
O 0.978 0.489 0.237
O 0.154 0.846 0.925
Ba 0.000 0.000 0.245
O 0.154 0.309 0.925
CELL_PARAMETERS angstrom
5.848 0.000 0.000
-2.924 5.064 0.000
0.000 0.000 14.639

***

(3)
! CuNiPb | Alexandria via LeMat-Bulk | SCAN | PBEsol geometry; values from VASP
! - excess energy over the best structure of this formula in the dataset (eV per atom) = 0.000
! - crystal system = tetragonal
! - total magnetic moment (μB/f.u.) = 0.000
! - Fermi-level density of states (states/eV/atom) = 0.381
! - symmetry = No. 107
! - energy of formation from the pure elements (eV per atom) = 0.3245
&SYSTEM
  ibrav = 0, nat = 3, ntyp = 3
/
ATOMIC_SPECIES
Cu 63.55 Cu.upf
Pb 207.20 Pb.upf
Ni 58.69 Ni.upf
ATOMIC_POSITIONS crystal
Cu 0.019 0.019 0.038
Pb 0.332 0.332 0.663
Ni 0.649 0.649 0.299
CELL_PARAMETERS angstrom
3.300 0.000 0.000
0.000 3.300 0.000
-1.650 -1.650 4.229

***

(4)
! YB4Ru4 | Alexandria via LeMat-Bulk | SCAN | PBEsol geometry; values from VASP
! - crystal system = tetragonal
! - total magnetic moment (μB/f.u.) = 0.000
! - Fermi-level density of states (states/eV/atom) = 0.799
! - symmetry = No. 142
! - energy of formation from the pure elements (eV per atom) = -0.5619
&SYSTEM
  ibrav = 0, nat = 36, ntyp = 3
/
ATOMIC_SPECIES
Y 88.91 Y.upf
B 10.81 B.upf
Ru 101.07 Ru.upf
ATOMIC_POSITIONS crystal
Y 0.500 0.000 0.000
B 0.190 0.999 0.663
B 0.914 0.940 0.163
Ru 0.946 0.209 0.123
Ru 0.459 0.928 0.623
Ru 0.959 0.196 0.623
B 0.060 0.751 0.837
Y 0.250 0.250 0.500
Y 0.000 0.500 0.000
Y 0.750 0.750 0.500
B 0.836 0.027 0.337
Ru 0.072 0.836 0.377
B 0.001 0.527 0.337
Ru 0.586 0.322 0.877
Ru 0.304 0.541 0.377
Ru 0.804 0.336 0.377
Ru 0.086 0.054 0.877
B 0.249 0.223 0.163
B 0.336 0.810 0.337
Ru 0.178 0.914 0.123
B 0.277 0.251 0.837
B 0.973 0.499 0.663
Ru 0.664 0.428 0.623
B 0.473 0.664 0.663
Ru 0.678 0.709 0.123
Ru 0.291 0.554 0.877
Ru 0.446 0.414 0.123
B 0.501 0.310 0.337
B 0.560 0.586 0.837
Ru 0.572 0.041 0.377
B 0.414 0.723 0.163
B 0.749 0.440 0.163
Ru 0.791 0.822 0.877
B 0.777 0.086 0.837
Ru 0.164 0.696 0.623
B 0.690 0.164 0.663
CELL_PARAMETERS angstrom
-2.647 -0.679 6.883
6.831 -1.412 2.487
-1.002 8.329 -3.547

***

(5)
! LiMg2Ga2 | Alexandria via LeMat-Bulk | SCAN | PBEsol geometry; values from VASP
! - crystal system = tetragonal
! - total magnetic moment (μB/f.u.) = 0.000
! - Fermi-level density of states (states/eV/atom) = 0.280
! - symmetry = No. 127
! - energy of formation from the pure elements (eV per atom) = -0.1877
&SYSTEM
  ibrav = 0, nat = 10, ntyp = 3
/
ATOMIC_SPECIES
Ga 69.72 Ga.upf
Mg 24.30 Mg.upf
Li 6.94 Li.upf
ATOMIC_POSITIONS crystal
Ga 0.000 0.379 0.879
Mg 0.500 0.322 0.178
Li 0.000 0.000 0.000
Mg 0.500 0.678 0.822
Ga 0.000 0.621 0.121
Ga 0.000 0.121 0.379
Mg 0.500 0.822 0.322
Mg 0.500 0.178 0.678
Li 0.000 0.500 0.500
Ga 0.000 0.879 0.621
CELL_PARAMETERS angstrom
-1.910 1.119 -2.400
-1.006 -7.146 -2.530
-6.120 -0.740 4.525

***

(6)
! MgSb2W | Alexandria via LeMat-Bulk | SCAN | PBEsol geometry; values from VASP
! - excess energy over the best structure of this formula in the dataset (eV per atom) = 0.138
! - crystal system = monoclinic
! - total magnetic moment (μB/f.u.) = 0.000
! - Fermi-level density of states (states/eV/atom) = 0.447
! - energy relative to the elements, uncorrected (eV/atom) = 0.427
! - symmetry = No. 6
&SYSTEM
  ibrav = 0, nat = 4, ntyp = 3
/
ATOMIC_SPECIES
Sb 121.76 Sb.upf
W 183.84 W.upf
Mg 24.30 Mg.upf
ATOMIC_POSITIONS crystal
Sb 0.694 0.500 0.263
W 0.807 0.000 0.488
Sb 0.081 0.000 0.036
Mg 0.418 0.500 0.713
CELL_PARAMETERS angstrom
-1.136 1.845 -2.713
-4.269 -2.548 0.055
-1.382 2.411 4.429

***

(7)
! Co2AgIr | Alexandria via LeMat-Bulk | SCAN | PBEsol geometry; values from VASP
! - crystal system = monoclinic
! - total magnetic moment (μB/f.u.) = 4.428
! - Fermi-level density of states (states/eV/atom) = 0.711
! - symmetry = No. 12
! - energy of formation from the pure elements (eV per atom) = 0.3372
&SYSTEM
  ibrav = 0, nat = 4, ntyp = 3
/
ATOMIC_SPECIES
Ir 192.22 Ir.upf
Co 58.93 Co.upf
Ag 107.87 Ag.upf
ATOMIC_POSITIONS crystal
Ir 0.500 0.000 0.000
Co 0.756 0.513 0.783
Co 0.244 0.487 0.217
Ag 0.000 0.000 0.500
CELL_PARAMETERS angstrom
-1.705 1.856 -0.842
-2.416 -3.614 1.121
0.234 2.119 4.193

***

(8)
! LiMn2OsC | Alexandria via LeMat-Bulk | SCAN | PBEsol geometry; values from VASP
! - crystal system = tetragonal
! - total magnetic moment (μB/f.u.) = 6.774
! - Fermi-level density of states (states/eV/atom) = 0.464
! - symmetry = No. 123
! - energy of formation from the pure elements (eV per atom) = 0.0551
&SYSTEM
  ibrav = 0, nat = 5, ntyp = 4
/
ATOMIC_SPECIES
Mn 54.94 Mn.upf
Os 190.23 Os.upf
Li 6.94 Li.upf
C 12.01 C.upf
ATOMIC_POSITIONS crystal
Mn 0.000 0.500 0.000
Os 0.500 0.000 0.000
Mn 0.000 0.000 0.500
Li 0.500 0.500 0.500
C 0.000 0.000 0.000
CELL_PARAMETERS angstrom
-3.528 0.626 1.673
-1.724 -0.920 -3.292
-0.132 -3.667 1.094

***

(9)
! CaBe2P2O8 | Alexandria via LeMat-Bulk | SCAN | PBEsol geometry; values from VASP
! - crystal system = monoclinic
! - total magnetic moment (μB/f.u.) = 0.000
! - Fermi-level density of states (states/eV/atom) = 0.000
! - energy relative to the elements, uncorrected (eV/atom) = -2.973
! - symmetry = No. 14
&SYSTEM
  ibrav = 0, nat = 52, ntyp = 4
/
ATOMIC_SPECIES
P 30.97 P.upf
O 16.00 O.upf
Be 9.01 Be.upf
Ca 40.08 Ca.upf
ATOMIC_POSITIONS crystal
P 0.939 0.558 0.698
O 0.058 0.378 0.136
P 0.439 0.261 0.582
O 0.069 0.419 0.692
Be 0.569 0.555 0.694
O 0.931 0.081 0.192
O 0.434 0.904 0.807
O 0.006 0.192 0.911
Ca 0.245 0.885 0.586
O 0.069 0.919 0.808
O 0.240 0.498 0.348
O 0.493 0.188 0.925
O 0.760 0.502 0.652
O 0.566 0.096 0.193
O 0.742 0.318 0.078
O 0.564 0.127 0.633
O 0.566 0.596 0.307
Ca 0.755 0.615 0.086
P 0.439 0.761 0.918
O 0.258 0.682 0.922
P 0.939 0.058 0.802
O 0.564 0.627 0.867
O 0.994 0.808 0.089
O 0.942 0.622 0.864
O 0.942 0.122 0.636
O 0.931 0.581 0.308
Ca 0.245 0.385 0.914
O 0.434 0.404 0.693
P 0.061 0.942 0.198
Be 0.569 0.055 0.806
Be 0.931 0.234 0.078
O 0.994 0.308 0.411
Be 0.069 0.766 0.922
O 0.507 0.812 0.075
Be 0.931 0.734 0.422
O 0.760 0.002 0.848
O 0.006 0.692 0.589
Ca 0.755 0.115 0.414
Be 0.431 0.945 0.194
O 0.507 0.312 0.425
O 0.258 0.182 0.578
O 0.436 0.373 0.133
Be 0.431 0.445 0.306
P 0.561 0.739 0.418
O 0.493 0.688 0.575
P 0.561 0.239 0.082
Be 0.069 0.266 0.578
O 0.240 0.998 0.152
O 0.742 0.818 0.422
O 0.058 0.878 0.364
O 0.436 0.873 0.367
P 0.061 0.442 0.302
CELL_PARAMETERS angstrom
7.791 -0.001 0.000
-0.067 8.314 0.000
0.000 0.000 8.793